Nb2MoP2: relaxed, PBE. Values from VASP.

```
&SYSTEM
  ibrav = 0, nat = 5, ntyp = 3
/
ATOMIC_SPECIES
Mo 95.94 Mo.upf
P 30.97 P.upf
Nb 92.91 Nb.upf
CELL_PARAMETERS angstrom
4.120 0.000 0.000
0.000 4.120 0.000
2.060 2.060 4.994
ATOMIC_POSITIONS angstrom
Mo 0.000 0.000 0.000
P 4.120 4.120 3.923
P 2.060 2.060 1.071
Nb 4.120 2.060 2.497
Nb 2.060 4.120 2.497
```

* energy of formation from the pure elements: 3 kJ/mol of formula units
* total DFT energy (no corrections): -41.76 eV/cell
* energy above the most stable polymorph in this dataset: 0.636 eV/atom

***

SrRhBr2: relaxed, PBE. Values from VASP.

```
&SYSTEM
  ibrav = 0, nat = 4, ntyp = 3
/
ATOMIC_SPECIES
Br 79.90 Br.upf
Sr 87.62 Sr.upf
Rh 102.91 Rh.upf
CELL_PARAMETERS angstrom
-5.530 -0.336 -1.990
-3.046 -4.227 -2.740
-4.647 -3.265 1.547
ATOMIC_POSITIONS angstrom
Br -13.011 -7.704 -3.133
Br -6.822 -4.039 -1.643
Sr -9.917 -5.871 -2.388
Rh -3.306 -1.957 -0.796
```

* formation energy without anion corrections: -2.821 eV per formula unit
* total DFT energy (no corrections): -15.20 eV/cell
* energy above the most stable polymorph in this dataset: 0.164 eV/atom

***

AcPm2Th: relaxed, PBE. Values from VASP.

```
&SYSTEM
  ibrav = 0, nat = 4, ntyp = 3
/
ATOMIC_SPECIES
Pm 145.00 Pm.upf
Ac 227.00 Ac.upf
Th 232.04 Th.upf
CELL_PARAMETERS angstrom
-2.760 4.942 1.625
-5.529 -0.241 2.014
-1.107 1.018 5.694
ATOMIC_POSITIONS angstrom
Pm -7.047 4.290 7.000
Ac -4.698 2.860 4.666
Pm -2.349 1.430 2.333
Th 0.000 0.000 0.000
```

* energy of formation from the pure elements: 71 kJ/mol of formula units
* total DFT energy (no corrections): -20.30 eV/cell
* energy above the most stable polymorph in this dataset: 0.141 eV/atom

***

CrAsPt2: relaxed, PBE. Values from VASP.

```
&SYSTEM
  ibrav = 0, nat = 4, ntyp = 3
/
ATOMIC_SPECIES
Pt 195.08 Pt.upf
Cr 52.00 Cr.upf
As 74.92 As.upf
CELL_PARAMETERS angstrom
2.975 0.000 0.000
0.000 3.905 0.000
0.000 0.000 5.464
ATOMIC_POSITIONS angstrom
Pt 1.488 1.953 1.485
Cr 1.488 1.953 4.244
Pt 0.000 0.000 5.308
As 0.000 0.000 2.623
```

* energy of formation from the pure elements: -15 kJ/mol of formula units
* total DFT energy (no corrections): -26.51 eV/cell

***

BPb: relaxed, PBE. Values from VASP.

```
&SYSTEM
  ibrav = 0, nat = 16, ntyp = 2
/
ATOMIC_SPECIES
B 10.81 B.upf
Pb 207.20 Pb.upf
CELL_PARAMETERS angstrom
10.174 0.000 0.000
0.000 10.174 0.000
0.000 0.000 3.845
ATOMIC_POSITIONS angstrom
B 7.984 6.341 0.000
B 2.897 1.254 1.923
B 8.921 2.897 1.923
B 6.341 2.190 0.000
Pb 1.063 2.842 1.923
Pb 2.842 9.111 1.923
B 2.190 3.834 0.000
Pb 4.024 2.245 0.000
Pb 2.245 6.151 0.000
B 1.254 7.277 1.923
B 3.834 7.984 0.000
B 7.277 8.921 1.923
Pb 6.151 7.930 0.000
Pb 7.930 4.024 0.000
Pb 9.111 7.332 1.923
Pb 7.332 1.063 1.923
```

* energy of formation from the pure elements: 251 kJ/mol of formula units
* total DFT energy (no corrections): -62.30 eV/cell
* energy above the most stable polymorph in this dataset: 0.488 eV/atom

***

NaCd10In: relaxed, PBE. Values from VASP.

```
&SYSTEM
  ibrav = 0, nat = 12, ntyp = 3
/
ATOMIC_SPECIES
Cd 112.41 Cd.upf
Na 22.99 Na.upf
In 114.82 In.upf
CELL_PARAMETERS angstrom
-2.497 2.293 3.519
-4.855 -3.451 -1.196
3.252 -6.944 6.833
ATOMIC_POSITIONS angstrom
Cd 0.271 -7.488 5.072
Cd -4.111 -3.166 2.539
Cd -1.641 -1.410 3.148
Na 0.000 0.000 0.000
In -0.802 -5.197 2.818
Cd -3.676 -0.579 1.161
Cd 2.165 -4.624 4.550
Cd 1.086 -2.320 2.283
Cd 0.010 -4.935 6.617
Cd 0.377 -2.325 5.176
Cd -1.874 -2.907 0.565
Cd -2.460 -6.691 6.008
```

* energy of formation from the pure elements: 29 kJ/mol of formula units
* total DFT energy (no corrections): -12.91 eV/cell

***

CoCS3: relaxed, PBE. Values from VASP.

```
&SYSTEM
  ibrav = 0, nat = 5, ntyp = 3
/
ATOMIC_SPECIES
C 12.01 C.upf
Co 58.93 Co.upf
S 32.06 S.upf
CELL_PARAMETERS angstrom
-0.032 -1.664 -3.697
-2.276 -3.053 1.393
-3.356 2.086 -0.911
ATOMIC_POSITIONS angstrom
C 0.000 0.000 0.000
Co -2.832 -1.315 -1.607
S -1.678 1.043 -0.455
S -0.016 -0.832 -1.849
S -1.138 -1.526 0.697
```

* formation energy without anion corrections: 6.848 eV per formula unit
* total DFT energy (no corrections): -21.86 eV/cell
* energy above the most stable polymorph in this dataset: 0.000 eV/atom

***

Ca3Pm3Te8Au: relaxed, PBE. Values from VASP.

```
&SYSTEM
  ibrav = 0, nat = 15, ntyp = 4
/
ATOMIC_SPECIES
Ca 40.08 Ca.upf
Au 196.97 Au.upf
Te 127.60 Te.upf
Pm 145.00 Pm.upf
CELL_PARAMETERS angstrom
-5.310 2.893 -6.813
5.483 -6.877 -1.103
-7.199 -0.902 5.227
ATOMIC_POSITIONS angstrom
Ca 0.000 0.000 0.000
Au -3.600 -0.451 2.614
Te -3.933 -3.012 1.786
Pm -3.513 -2.443 -1.344
Pm -0.858 -3.890 2.062
Te -6.639 -1.959 -1.748
Te -0.387 -2.927 -0.941
Te -3.093 -1.873 -4.475
Ca 2.741 -3.438 -0.551
Te -3.899 -5.427 -2.059
Te -1.463 -6.754 1.066
Te -3.127 0.541 -0.630
Ca 0.086 -1.992 -3.958
Pm -6.255 0.995 -0.793
Te -5.563 1.869 -3.755
```

* formation energy without anion corrections: -18.929 eV per formula unit
* total DFT energy (no corrections): -67.60 eV/cell

***

SrTb4PmSe8: relaxed, PBE. Values from VASP.

```
&SYSTEM
  ibrav = 0, nat = 14, ntyp = 4
/
ATOMIC_SPECIES
Se 78.96 Se.upf
Pm 145.00 Pm.upf
Tb 158.93 Tb.upf
Sr 87.62 Sr.upf
CELL_PARAMETERS angstrom
-3.342 1.798 7.682
-3.199 -6.291 4.859
4.153 -2.422 7.152
ATOMIC_POSITIONS angstrom
Se -3.843 -4.024 11.334
Pm 4.116 -2.417 7.135
Se -1.939 -5.165 14.700
Se -2.165 -0.722 8.784
Tb 0.497 -4.325 6.007
Se 1.461 -2.851 8.242
Sr 1.205 -3.808 10.972
Se -0.335 -1.767 5.046
Tb -3.577 -3.110 8.728
Tb 0.426 -0.337 7.398
Se -0.291 -6.296 10.904
Tb 2.074 -1.224 3.611
Se -0.370 -1.866 12.450
Se -2.089 -4.968 7.302
```

* formation energy without anion corrections: -25.195 eV per formula unit
* total DFT energy (no corrections): -78.02 eV/cell

***

CsNbI2N: relaxed, PBE. Values from VASP.

```
&SYSTEM
  ibrav = 0, nat = 5, ntyp = 4
/
ATOMIC_SPECIES
Cs 132.91 Cs.upf
N 14.01 N.upf
Nb 92.91 Nb.upf
I 126.90 I.upf
CELL_PARAMETERS angstrom
-1.534 -0.527 6.631
5.687 -3.633 1.028
2.331 3.889 0.848
ATOMIC_POSITIONS angstrom
Cs 0.000 0.000 0.000
N 1.165 1.945 0.424
Nb 3.242 -0.135 4.253
I -0.767 -0.263 3.315
I 2.844 -1.816 0.514
```

* formation energy without anion corrections: 8.579 eV per formula unit
* total DFT energy (no corrections): -13.77 eV/cell
* energy above the most stable polymorph in this dataset: 2.174 eV/atom

***

PmTiP: relaxed, PBE. Values from VASP.

```
&SYSTEM
  ibrav = 0, nat = 12, ntyp = 3
/
ATOMIC_SPECIES
Ti 47.87 Ti.upf
Pm 145.00 Pm.upf
P 30.97 P.upf
CELL_PARAMETERS angstrom
-0.954 -5.680 0.577
6.455 -1.384 -2.947
3.385 5.811 4.686
ATOMIC_POSITIONS angstrom
Ti 3.557 2.573 2.150
Pm 6.654 3.550 2.362
Pm 2.232 -4.803 -0.045
Ti 3.081 -0.268 2.439
Pm 0.703 -1.533 0.582
P 1.334 1.409 1.541
Ti 5.329 -3.826 0.166
P 5.326 0.757 1.721
P 7.552 -2.662 0.776
Pm 8.183 0.280 1.735
P 3.560 -2.011 0.595
Ti 5.806 -0.985 -0.122
```

* energy of formation from the pure elements: -270 kJ/mol of formula units
* total DFT energy (no corrections): -83.42 eV/cell
* energy above the most stable polymorph in this dataset: 0.124 eV/atom

***

MnVPd5: relaxed, PBE. Values from VASP.

```
&SYSTEM
  ibrav = 0, nat = 14, ntyp = 3
/
ATOMIC_SPECIES
Mn 54.94 Mn.upf
Pd 106.42 Pd.upf
V 50.94 V.upf
CELL_PARAMETERS angstrom
5.243 0.339 0.809
1.985 4.864 0.809
3.479 2.505 9.820
ATOMIC_POSITIONS angstrom
Mn 1.740 1.252 4.910
Pd 4.562 3.652 1.226
V 5.746 5.143 8.175
Pd 3.115 5.129 3.265
Pd 5.026 2.475 7.700
Pd 2.202 2.728 2.789
Pd 8.504 4.980 8.650
Pd 4.057 3.288 5.303
Mn 0.000 0.000 0.000
V 4.961 2.565 3.265
Pd 7.592 2.579 8.175
Pd 6.145 4.056 10.213
Pd 5.681 5.233 3.740
Pd 6.650 4.420 6.137
```

* energy of formation from the pure elements: -33 kJ/mol of formula units
* total DFT energy (no corrections): -89.18 eV/cell
* energy above the most stable polymorph in this dataset: 0.054 eV/atom